# SrPb2Se

An optimized crystal structure of SrPb2Se (PBE-GGA, the Alexandria database).

Lattice parameters (Å, degrees): 4.3304 4.3304 6.6857 90.00 90.00 90.00
Space group P4/mmm (No. 123)
Inequivalent atoms, fractional coordinates:
Sr 0.0000 0.0000 0.0000
Pb 0.5000 0.5000 0.2789
Se 0.0000 0.0000 0.5000

Calculated values
raw total energy: -3.486 eV per atom
formation energy without anion corrections: -0.341 eV per atom